# 1
VASP calculation (GGA-PBE) on a relaxed structure of Tl2FePt.

Properties
As for the calculated volume: 20.1 Å³ per atom. For the energy of formation, the calculation gives 477 meV/atom. The density comes out at 13.6 g/cm³. The total energy is -17.33 eV/cell.

a = 4.8444 Å, b = 4.8444 Å, c = 4.8444 Å
α = 60.00°, β = 60.00°, γ = 60.00°
Element x y z (fractional)
Tl 0.0000 0.0000 0.0000
Tl 0.2500 0.2500 0.2500
Fe 0.5000 0.5000 0.5000
Pt 0.7500 0.7500 0.7500

# 2
VASP calculation (GGA-PBE) on a relaxed structure of TlFePt2.

Properties
As for the calculated volume: 16.7 Å³ per atom. For the energy of formation, the calculation gives 105 meV/atom. The density comes out at 16.1 g/cm³. The total energy is -22.49 eV/cell.

a = 4.8865 Å, b = 4.8865 Å, c = 2.9329 Å
α = 90.18°, β = 90.18°, γ = 106.99°
Element x y z (fractional)
Tl 0.0000 0.0000 0.0000
Fe 0.5000 0.5000 0.0000
Pt 0.0000 0.5000 0.5000
Pt 0.5000 0.0000 0.5000

# 3
VASP calculation (GGA-PBE) on a relaxed structure of Tl2FePt.

Properties
As for the calculated volume: 21.6 Å³ per atom. For the energy of formation, the calculation gives 532 meV/atom. The density comes out at 12.7 g/cm³. The total energy is -34.22 eV/cell.

a = 10.0798 Å, b = 10.0798 Å, c = 10.0798 Å
α = 155.73°, β = 155.73°, γ = 34.59°
Element x y z (fractional)
Tl 0.1220 0.6250 0.9970
Tl 0.3750 0.3720 0.4970
Tl 0.6280 0.1250 0.0030
Tl 0.8750 0.8780 0.5030
Fe 0.0000 0.0000 0.0000
Fe 0.7500 0.2500 0.5000
Pt 0.2500 0.7500 0.5000
Pt 0.5000 0.5000 0.0000

# 4
VASP calculation (GGA-PBE) on a relaxed structure of Tl2FePt.

Properties
As for the calculated volume: 19.6 Å³ per atom. For the energy of formation, the calculation gives 429 meV/atom. The density comes out at 14.0 g/cm³. The total energy is -17.52 eV/cell.

a = 4.7704 Å, b = 4.7704 Å, c = 5.5630 Å
α = 100.89°, β = 100.89°, γ = 39.23°
Element x y z (fractional)
Tl 0.2485 0.2485 0.2460
Tl 0.7515 0.7515 0.7540
Fe 0.5000 0.5000 0.0000
Pt 0.0000 0.0000 0.5000

# 5
VASP calculation (GGA-PBE) on a relaxed structure of Tl2FePt.

Properties
As for the calculated volume: 20.4 Å³ per atom. For the energy of formation, the calculation gives 284 meV/atom. The density comes out at 13.4 g/cm³. The total energy is -18.10 eV/cell.

a = 6.4143 Å, b = 6.4143 Å, c = 6.4143 Å
α = 153.07°, β = 136.59°, γ = 51.83°
Element x y z (fractional)
Tl 0.0000 0.0000 0.0000
Tl 0.7108 0.2108 0.5000
Fe 0.4817 0.4817 0.0000
Pt 0.2986 0.7986 0.5000

# 6
VASP calculation (GGA-PBE) on a relaxed structure of TlFePt4.

Properties
As for the calculated volume: 17.9 Å³ per atom. For the energy of formation, the calculation gives 167 meV/atom. The density comes out at 16.1 g/cm³. The total energy is -33.99 eV/cell.

a = 5.3360 Å, b = 5.3360 Å, c = 5.3360 Å
α = 60.00°, β = 60.00°, γ = 60.00°
Element x y z (fractional)
Tl 0.0000 0.0000 0.0000
Fe 0.7500 0.7500 0.7500
Pt 0.3753 0.3753 0.3753
Pt 0.3753 0.3753 0.8741
Pt 0.3753 0.8741 0.3753
Pt 0.8741 0.3753 0.3753

# 7
VASP calculation (GGA-PBE) on a relaxed structure of Tl3FePt.

Properties
As for the calculated volume: 30.2 Å³ per atom. For the energy of formation, the calculation gives 688 meV/atom. The density comes out at 9.5 g/cm³. The value obtained for the energy above the most stable polymorph in this dataset is 0 meV per atom. The total energy is -18.16 eV/cell.

a = 5.3248 Å, b = 5.3248 Å, c = 5.3248 Å
α = 90.00°, β = 90.00°, γ = 90.00°
Element x y z (fractional)
Tl 0.0000 0.0000 0.5000
Tl 0.0000 0.5000 0.0000
Tl 0.5000 0.0000 0.0000
Fe 0.5000 0.5000 0.5000
Pt 0.0000 0.0000 0.0000

# 8
VASP calculation (GGA-PBE) on a relaxed structure of TlFePt.

Properties
As for the calculated volume: 17.8 Å³ per atom. For the energy of formation, the calculation gives 222 meV/atom. The density comes out at 14.1 g/cm³. The value obtained for the energy above the most stable polymorph in this dataset is 0 meV per atom. The total energy is -16.20 eV/cell.

a = 6.0844 Å, b = 6.0844 Å, c = 6.0844 Å
α = 152.08°, β = 149.47°, γ = 41.84°
Element x y z (fractional)
Tl 0.0000 0.0000 0.0000
Fe 0.3182 0.3182 0.0000
Pt 0.6923 0.6923 0.0000

# 9
VASP calculation (GGA-PBE) on a relaxed structure of TlFePt2.

Properties
As for the calculated volume: 16.6 Å³ per atom. For the energy of formation, the calculation gives 91 meV/atom. The density comes out at 16.2 g/cm³. The total energy is -22.54 eV/cell.

a = 4.9397 Å, b = 4.9397 Å, c = 4.9397 Å
α = 131.34°, β = 131.34°, γ = 71.27°
Element x y z (fractional)
Tl 0.0000 0.0000 0.0000
Fe 0.2500 0.7500 0.5000
Pt 0.5000 0.5000 0.0000
Pt 0.7500 0.2500 0.5000

# 10
VASP calculation (GGA-PBE) on a relaxed structure of Tl2FePt.

Properties
As for the calculated volume: 21.9 Å³ per atom. For the energy of formation, the calculation gives 174 meV/atom. The density comes out at 12.5 g/cm³. The total energy is -18.54 eV/cell.

a = 3.2721 Å, b = 3.2721 Å, c = 8.1957 Å
α = 90.00°, β = 90.00°, γ = 90.00°
Element x y z (fractional)
Tl 0.0000 0.0000 0.0000
Tl 0.5000 0.5000 0.3544
Fe 0.0000 0.0000 0.6047
Pt 0.5000 0.5000 0.7391

# 11
VASP calculation (GGA-PBE) on a relaxed structure of Tm8FePt2.

Properties
As for the calculated volume: 24.1 Å³ per atom. For the energy of formation, the calculation gives -507 meV/atom. The density comes out at 11.3 g/cm³. The value obtained for the energy above the most stable polymorph in this dataset is 0 meV per atom. The total energy is -61.89 eV/cell.

a = 8.7810 Å, b = 8.7810 Å, c = 6.6869 Å
α = 106.76°, β = 106.76°, γ = 32.62°
Element x y z (fractional)
Tm 0.0295 0.0295 0.2956
Tm 0.2019 0.2019 0.8050
Tm 0.3374 0.3374 0.5373
Tm 0.4070 0.4070 0.0612
Tm 0.5930 0.5930 0.9388
Tm 0.6626 0.6626 0.4627
Tm 0.7981 0.7981 0.1950
Tm 0.9705 0.9705 0.7044
Fe 0.5000 0.5000 0.5000
Pt 0.1861 0.1861 0.2049
Pt 0.8139 0.8139 0.7951

# 12
VASP calculation (GGA-PBE) on a relaxed structure of Tm8FePt2.

Properties
As for the calculated volume: 25.8 Å³ per atom. For the energy of formation, the calculation gives -413 meV/atom. The density comes out at 10.5 g/cm³. The value obtained for the energy above the most stable polymorph in this dataset is 93 meV per atom. The total energy is -60.86 eV/cell.

a = 7.4811 Å, b = 7.4811 Å, c = 5.8554 Å
α = 101.22°, β = 101.22°, γ = 112.39°
Element x y z (fractional)
Tm 0.0000 0.0000 0.0000
Tm 0.0228 0.2763 0.5668
Tm 0.1419 0.5537 0.1820
Tm 0.2763 0.0228 0.5668
Tm 0.4331 0.6867 0.7693
Tm 0.5537 0.1419 0.1820
Tm 0.6867 0.4331 0.7693
Tm 0.7003 0.7003 0.3597
Fe 0.3467 0.3467 0.3537
Pt 0.0432 0.6710 0.6762
Pt 0.6710 0.0432 0.6762